# TlCr2Re

A geometry-optimized TlCr2Re structure (PBE, the Alexandria database).

```
data_TlCr2Re
_chemical_formula_sum 'Tl2 Cr4 Re2'
_cell_length_a 5.9882
_cell_length_b 6.8450
_cell_length_c 3.0612
_cell_angle_alpha 90.00
_cell_angle_beta 90.00
_cell_angle_gamma 90.00
_space_group_name_H-M_alt 'C m m m'
_space_group_IT_number 65
_space_group_name_Hall '-C 2 2'
loop_
_atom_site_label
_atom_site_type_symbol
_atom_site_fract_x
_atom_site_fract_y
_atom_site_fract_z
_atom_site_occupancy
Tl1 Tl 0.0000 0.0000 0.0000 1
Cr1 Cr 0.2500 0.2500 0.5000 1
Re1 Re 0.0000 0.5000 0.0000 1
```

Properties
formation enthalpy at 0 K = 698.2 meV per atom
energy above the lowest structure with this stoichiometry = 227 meV/atom
uncorrected energy = -7.817 eV per atom
total magnetization = 3.9 μB/f.u.


# LiScPt3

A geometry-optimized LiScPt3 structure (PBE, the Alexandria database).

```
data_LiScPt3
_chemical_formula_sum 'Li1 Sc1 Pt3'
_cell_length_a 4.2725
_cell_length_b 4.2725
_cell_length_c 4.2725
_cell_angle_alpha 90.00
_cell_angle_beta 90.00
_cell_angle_gamma 90.00
_space_group_name_H-M_alt 'P m -3 m'
_space_group_IT_number 221
_space_group_name_Hall '-P 4 2 3'
loop_
_atom_site_label
_atom_site_type_symbol
_atom_site_fract_x
_atom_site_fract_y
_atom_site_fract_z
_atom_site_occupancy
Li1 Li 0.0000 0.0000 0.0000 1
Sc1 Sc 0.5000 0.5000 0.5000 1
Pt1 Pt 0.0000 0.0000 0.5000 1
```

Properties
formation enthalpy at 0 K = -423.5 meV per atom
energy above the lowest structure with this stoichiometry = 0 meV/atom
uncorrected energy = -5.697 eV per atom
total magnetization = 0.0 μB/f.u.


# Pr3NdTl

A geometry-optimized Pr3NdTl structure (PBE, the Alexandria database).

```
data_Pr3NdTl
_chemical_formula_sum 'Pr12 Nd4 Tl4'
_cell_length_a 9.4024
_cell_length_b 8.7219
_cell_length_c 9.6767
_cell_angle_alpha 90.00
_cell_angle_beta 120.86
_cell_angle_gamma 90.00
_space_group_name_H-M_alt 'P 1 21/c 1'
_space_group_IT_number 14
_space_group_name_Hall '-P 2ybc'
loop_
_atom_site_label
_atom_site_type_symbol
_atom_site_fract_x
_atom_site_fract_y
_atom_site_fract_z
_atom_site_occupancy
Pr1 Pr 0.0770 0.0667 0.2887 1
Pr2 Pr 0.2909 0.0637 0.7145 1
Pr3 Pr 0.4038 0.6945 0.9514 1
Nd1 Nd 0.2887 0.0628 0.0748 1
Tl1 Tl 0.0909 0.7494 0.5452 1
```

Properties
formation enthalpy at 0 K = -86.8 meV per atom
energy above the lowest structure with this stoichiometry = 53 meV/atom
uncorrected energy = -4.381 eV per atom
total magnetization = 0.0 μB/f.u.


# Cs2BePtAu

A geometry-optimized Cs2BePtAu structure (PBE, the Alexandria database).

```
data_Cs2BePtAu
_chemical_formula_sum 'Cs2 Be1 Pt1 Au1'
_cell_length_a 6.7246
_cell_length_b 6.7246
_cell_length_c 4.3260
_cell_angle_alpha 90.00
_cell_angle_beta 90.00
_cell_angle_gamma 90.00
_space_group_name_H-M_alt 'P 4/m m m'
_space_group_IT_number 123
_space_group_name_Hall '-P 4 2'
loop_
_atom_site_label
_atom_site_type_symbol
_atom_site_fract_x
_atom_site_fract_y
_atom_site_fract_z
_atom_site_occupancy
Cs1 Cs 0.0000 0.5000 0.0000 1
Be1 Be 0.0000 0.0000 0.5000 1
Pt1 Pt 0.0000 0.0000 0.0000 1
Au1 Au 0.5000 0.5000 0.5000 1
```

Properties
formation enthalpy at 0 K = 57.6 meV per atom
uncorrected energy = -2.893 eV per atom
total magnetization = 0.0 μB/f.u.


# PmAgHg2

A geometry-optimized PmAgHg2 structure (PBE, the Alexandria database).

```
data_PmAgHg2
_chemical_formula_sum 'Pm1 Ag1 Hg2'
_cell_length_a 3.5931
_cell_length_b 3.5931
_cell_length_c 7.3282
_cell_angle_alpha 90.00
_cell_angle_beta 90.00
_cell_angle_gamma 90.00
_space_group_name_H-M_alt 'P 4/m m m'
_space_group_IT_number 123
_space_group_name_Hall '-P 4 2'
loop_
_atom_site_label
_atom_site_type_symbol
_atom_site_fract_x
_atom_site_fract_y
_atom_site_fract_z
_atom_site_occupancy
Pm1 Pm 0.0000 0.0000 0.0000 1
Ag1 Ag 0.0000 0.0000 0.5000 1
Hg1 Hg 0.5000 0.5000 0.2766 1
```

Properties
formation enthalpy at 0 K = -241.3 meV per atom
energy above the lowest structure with this stoichiometry = 120 meV/atom
uncorrected energy = -2.293 eV per atom
total magnetization = 0.3 μB/f.u.


# KY2AgPd

A geometry-optimized KY2AgPd structure (PBE, the Alexandria database).

```
data_KY2AgPd
_chemical_formula_sum 'K1 Y2 Ag1 Pd1'
_cell_length_a 5.3904
_cell_length_b 5.3904
_cell_length_c 5.4911
_cell_angle_alpha 90.00
_cell_angle_beta 90.00
_cell_angle_gamma 90.00
_space_group_name_H-M_alt 'P 4/m m m'
_space_group_IT_number 123
_space_group_name_Hall '-P 4 2'
loop_
_atom_site_label
_atom_site_type_symbol
_atom_site_fract_x
_atom_site_fract_y
_atom_site_fract_z
_atom_site_occupancy
K1 K 0.0000 0.0000 0.0000 1
Y1 Y 0.0000 0.5000 0.5000 1
Ag1 Ag 0.5000 0.5000 0.0000 1
Pd1 Pd 0.5000 0.5000 0.5000 1
```

Properties
formation enthalpy at 0 K = 22.0 meV per atom
uncorrected energy = -4.392 eV per atom
total magnetization = 0.0 μB/f.u.


# TaBe2Si

A geometry-optimized TaBe2Si structure (PBE, the Alexandria database).

```
data_TaBe2Si
_chemical_formula_sum 'Ta2 Be4 Si2'
_cell_length_a 3.4571
_cell_length_b 3.4571
_cell_length_c 8.1345
_cell_angle_alpha 90.00
_cell_angle_beta 90.00
_cell_angle_gamma 90.00
_space_group_name_H-M_alt 'I -4 m 2'
_space_group_IT_number 119
_space_group_name_Hall 'I -4 -2'
loop_
_atom_site_label
_atom_site_type_symbol
_atom_site_fract_x
_atom_site_fract_y
_atom_site_fract_z
_atom_site_occupancy
Ta1 Ta 0.0000 0.0000 0.0000 1
Be1 Be 0.0000 0.0000 0.5000 1
Be2 Be 0.0000 0.5000 0.7500 1
Si1 Si 0.0000 0.5000 0.2500 1
```

Properties
uncorrected energy = -6.365 eV per atom
total magnetization = 0.0 μB/f.u.
formation energy (no corrections) = -0.183 eV/atom


# CdGa3Tc

A geometry-optimized CdGa3Tc structure (PBE, the Alexandria database).

```
data_CdGa3Tc
_chemical_formula_sum 'Cd1 Ga3 Tc1'
_cell_length_a 4.8667
_cell_length_b 4.8667
_cell_length_c 4.8667
_cell_angle_alpha 90.00
_cell_angle_beta 90.00
_cell_angle_gamma 90.00
_space_group_name_H-M_alt 'P m -3 m'
_space_group_IT_number 221
_space_group_name_Hall '-P 4 2 3'
loop_
_atom_site_label
_atom_site_type_symbol
_atom_site_fract_x
_atom_site_fract_y
_atom_site_fract_z
_atom_site_occupancy
Cd1 Cd 0.0000 0.0000 0.0000 1
Ga1 Ga 0.0000 0.5000 0.5000 1
Tc1 Tc 0.5000 0.5000 0.5000 1
```

Properties
formation enthalpy at 0 K = 193.3 meV per atom
energy above the lowest structure with this stoichiometry = 0 meV/atom
uncorrected energy = -3.879 eV per atom
total magnetization = 0.0 μB/f.u.


Copy entry 4 word for word.
# Cs2BePtAu

A geometry-optimized Cs2BePtAu structure (PBE, the Alexandria database).

```
data_Cs2BePtAu
_chemical_formula_sum 'Cs2 Be1 Pt1 Au1'
_cell_length_a 6.7246
_cell_length_b 6.7246
_cell_length_c 4.3260
_cell_angle_alpha 90.00
_cell_angle_beta 90.00
_cell_angle_gamma 90.00
_space_group_name_H-M_alt 'P 4/m m m'
_space_group_IT_number 123
_space_group_name_Hall '-P 4 2'
loop_
_atom_site_label
_atom_site_type_symbol
_atom_site_fract_x
_atom_site_fract_y
_atom_site_fract_z
_atom_site_occupancy
Cs1 Cs 0.0000 0.5000 0.0000 1
Be1 Be 0.0000 0.0000 0.5000 1
Pt1 Pt 0.0000 0.0000 0.0000 1
Au1 Au 0.5000 0.5000 0.5000 1
```

Properties
formation enthalpy at 0 K = 57.6 meV per atom
uncorrected energy = -2.893 eV per atom
total magnetization = 0.0 μB/f.u.